PrGd4Th, relaxed, DFT PBE-GGA; symmetry = F-43m (216); final energy = -11.126 eV/atom; calculated formation energy = 294 meV/atom; magnetization = 33.04 Bohr magnetons per cell
1.0
6.608 0.000 0.000
3.304 5.723 0.000
3.304 1.908 5.396
Pr Gd Th
1 4 1
direct
0.000 0.000 0.000 Pr
0.624 0.624 0.127 Gd
0.624 0.127 0.624 Gd
0.624 0.624 0.624 Gd
0.127 0.624 0.624 Gd
0.250 0.250 0.250 Th



PrGd2Th, relaxed, DFT PBE-GGA; energy above the most stable polymorph in this dataset = 13.0 kJ/mol of atoms; symmetry = Fm-3m (225); final energy = -9.934 eV/atom; calculated formation energy = 157 meV/atom; magnetization = 15.42 Bohr magnetons per cell
1.0
5.747 0.000 0.000
2.873 4.977 0.000
2.873 1.659 4.692
Pr Gd Th
1 2 1
direct
0.000 0.000 0.000 Pr
0.250 0.250 0.250 Gd
0.750 0.750 0.750 Gd
0.500 0.500 0.500 Th



PrGdTh2, relaxed, DFT PBE-GGA; energy above the most stable polymorph in this dataset = 12.2 kJ/mol of atoms; symmetry = R-3m (166); final energy = -8.224 eV/atom; calculated formation energy = 201 meV/atom; magnetization = 7.02 Bohr magnetons per cell
1.0
-1.385 0.856 3.125
-3.483 0.415 0.328
-2.806 -11.719 3.954
Pr Gd Th
1 1 2
direct
0.000 0.000 0.000 Pr
0.500 0.500 0.500 Gd
0.088 0.088 0.735 Th
0.912 0.912 0.265 Th